Entry from the Alexandria database: a relaxed structure of BaSc2Re (PBE).

a b c (Å): 3.708 3.708 8.039
angles (deg): 90.00 90.00 90.00
Positions (direct):
Ba: 0.000 0.000 0.545
Sc: 0.500 0.500 0.163
Re: 0.500 0.500 0.839
Sc: 0.000 0.000 0.953

## Properties
Energy of formation in eV per formula unit: 1.393
Total moment in μB/f.u.: 0.00
E in eV per atom: -6.41
Symmetry: P4mm (99)
Polymorph energy (0 for the lowest one) in eV per atom: 0.202

Entry from the Alexandria database: a relaxed structure of Ba2ScTiRe (PBE).

a b c (Å): 5.915 4.985 5.915
angles (deg): 90.00 90.00 90.00
Last column: magnetic moment on the atom in μB.
Positions (direct):
Sc: 0.000 0.500 0.000  0.08
Ti: 0.000 0.000 0.000  0.88
Ba: 0.000 0.000 0.500  0.09
Ba: 0.500 0.000 0.000  0.03
Re: 0.500 0.500 0.500  3.16

## Properties
Energy of formation in eV per formula unit: 8.452
Total moment in μB/f.u.: 4.96
E in eV per atom: -4.41
Symmetry: P4/mmm (123)

Entry from the Alexandria database: a relaxed structure of BaSc2ReW (PBE).

a b c (Å): 5.007 5.007 4.911
angles (deg): 90.00 90.00 90.00
Positions (direct):
Sc: 0.500 0.000 0.000
Re: 0.000 0.000 0.500
W: 0.500 0.500 0.500
Sc: 0.000 0.500 0.000
Ba: 0.000 0.000 0.000

## Properties
Energy of formation in eV per formula unit: 13.259
Total moment in μB/f.u.: 0.00
E in eV per atom: -5.35
Symmetry: P4/mmm (123)

> Which formula does entry 3 have?

BaSc2ReW

> What is the energy of formation in the second record?

8.452 eV per formula unit